one.
LiCuPt3 | PBE | relaxed

Geometry as POSCAR:
```
LiCuPt3
1.0
7.860 -1.039 0.826
-4.716 7.651 -0.713
0.724 0.193 2.670
Cu Pt Li
2 6 2
direct
0.250 0.497 0.248
0.750 0.503 0.752
0.655 0.702 0.446
0.437 0.093 0.859
0.345 0.298 0.554
0.140 0.693 0.957
0.860 0.307 0.043
0.563 0.907 0.141
0.043 0.890 0.651
0.957 0.110 0.349
```

two.
LiCuPt3 | PBE | relaxed

Geometry as POSCAR:
```
LiCuPt3
1.0
4.212 0.000 0.000
0.000 4.212 0.000
0.000 0.000 4.212
Cu Pt Li
1 3 1
direct
0.500 0.500 0.500
0.000 0.500 0.000
0.000 0.000 0.500
0.500 0.000 0.000
0.000 0.000 0.000
```

It is one that is the most stable of them.

one.
Li5CuPt | PBE | relaxed

Geometry as POSCAR:
```
Li5CuPt
1.0
5.249 0.718 -0.409
2.346 4.750 -0.409
2.059 1.482 8.914
Li Cu Pt
10 2 2
direct
0.340 0.384 0.025
0.187 0.271 0.314
0.660 0.616 0.975
0.729 0.813 0.186
0.384 0.340 0.525
0.271 0.187 0.814
0.767 0.233 0.750
0.813 0.729 0.686
0.616 0.660 0.475
0.233 0.767 0.250
0.737 0.263 0.250
0.263 0.737 0.750
0.000 0.000 0.500
0.000 0.000 0.000
```

two.
Li5CuPt | PBE | relaxed

Geometry as POSCAR:
```
Li5CuPt
1.0
4.060 0.678 0.000
-0.680 4.059 0.000
0.000 0.000 6.505
Li Cu Pt
5 1 1
direct
0.000 0.500 0.238
0.000 0.500 0.762
0.000 0.000 0.500
0.500 0.000 0.762
0.500 0.000 0.238
0.000 0.000 0.000
0.500 0.500 0.500
```

It is one that is the most stable of them.

one.
Li6CuPt | PBE | relaxed

Geometry as POSCAR:
```
Li6CuPt
1.0
-1.153 2.367 3.613
1.153 -3.600 2.726
5.274 1.981 0.385
Li Cu Pt
6 1 1
direct
0.500 0.334 0.000
0.500 0.815 0.260
0.000 0.188 0.256
0.500 0.815 0.740
0.000 0.188 0.744
0.000 0.652 0.500
0.000 0.698 0.000
0.500 0.310 0.500
```

two.
Li6CuPt | PBE | relaxed

Geometry as POSCAR:
```
Li6CuPt
1.0
4.498 0.000 0.000
0.000 5.514 -0.174
0.000 -2.597 4.867
Pt Li Cu
1 6 1
direct
0.500 0.416 0.584
0.000 0.573 0.427
0.500 0.922 0.078
0.000 0.573 0.895
0.500 0.405 0.078
0.500 0.922 0.595
0.000 0.105 0.427
0.000 0.084 0.916
```

It is one that is the most stable of them.

one.
LiCu4Pt | PBE | relaxed

Geometry as POSCAR:
```
LiCu4Pt
1.0
5.060 0.105 0.000
-0.095 4.778 0.000
0.000 0.000 6.498
Cu Li Pt
8 2 2
direct
0.254 0.000 0.000
0.751 0.250 0.660
0.249 0.250 0.660
0.746 0.500 0.000
0.746 0.000 0.000
0.249 0.750 0.340
0.751 0.750 0.340
0.254 0.500 0.000
0.500 0.750 0.689
0.500 0.250 0.311
0.000 0.250 0.309
0.000 0.750 0.691
```

two.
LiCu4Pt | PBE | relaxed

Geometry as POSCAR:
```
LiCu4Pt
1.0
4.812 0.000 0.000
2.406 4.167 0.000
2.406 1.389 3.929
Cu Li Pt
4 1 1
direct
0.625 0.625 0.125
0.625 0.625 0.625
0.125 0.625 0.625
0.625 0.125 0.625
0.250 0.250 0.250
0.000 0.000 0.000
```

three.
LiCu4Pt | PBE | relaxed

Geometry as POSCAR:
```
LiCu4Pt
1.0
-1.179 3.450 -0.474
0.858 -2.389 -5.248
-3.505 -1.201 -0.026
Li Cu Pt
1 4 1
direct
0.000 0.000 0.000
0.828 0.657 0.500
0.330 0.660 0.000
0.172 0.343 0.500
0.670 0.340 0.000
0.500 0.000 0.500
```

It is three that is the most stable of them.

one.
LiCu3Pt | PBE | relaxed

Geometry as POSCAR:
```
LiCu3Pt
1.0
-3.901 2.418 -4.968
1.477 -5.268 -3.723
-4.639 -2.883 2.240
Pt Cu Li
4 12 4
direct
0.000 0.500 0.500
0.500 0.000 0.000
0.500 0.000 0.500
0.000 0.500 0.000
0.369 0.375 0.537
0.131 0.875 0.963
0.631 0.625 0.463
0.878 0.808 0.250
0.131 0.875 0.537
0.122 0.192 0.750
0.869 0.125 0.037
0.622 0.308 0.250
0.631 0.625 0.037
0.869 0.125 0.463
0.378 0.692 0.750
0.369 0.375 0.963
0.698 0.332 0.750
0.302 0.668 0.250
0.198 0.168 0.250
0.802 0.832 0.750
```

two.
LiCu3Pt | PBE | relaxed

Geometry as POSCAR:
```
LiCu3Pt
1.0
3.998 0.000 0.000
0.000 3.998 0.000
0.000 0.000 3.998
Cu Pt Li
3 1 1
direct
0.000 0.000 0.500
0.500 0.000 0.000
0.000 0.500 0.000
0.500 0.500 0.500
0.000 0.000 0.000
```

three.
LiCu3Pt | PBE | relaxed

Geometry as POSCAR:
```
LiCu3Pt
1.0
4.463 0.000 0.000
0.000 5.956 -2.926
0.000 0.081 9.648
Cu Li Pt
12 4 4
direct
0.348 0.229 0.177
0.270 0.035 0.578
0.848 0.271 0.323
0.652 0.771 0.823
0.198 0.940 0.282
0.802 0.060 0.718
0.730 0.965 0.422
0.230 0.535 0.078
0.302 0.440 0.782
0.698 0.560 0.218
0.152 0.729 0.677
0.770 0.465 0.922
0.331 0.331 0.476
0.669 0.669 0.524
0.169 0.831 0.976
0.831 0.169 0.024
0.321 0.128 0.875
0.679 0.872 0.125
0.179 0.628 0.375
0.821 0.372 0.625
```

It is three that is the most stable of them.

one.
LiCu6Pt | PBE | relaxed

Geometry as POSCAR:
```
LiCu6Pt
1.0
-2.669 -4.024 -0.904
1.087 -2.468 4.106
-3.981 1.231 2.603
Cu Pt Li
6 1 1
direct
0.846 0.468 0.846
0.846 0.846 0.468
0.154 0.154 0.532
0.154 0.532 0.154
0.468 0.846 0.846
0.532 0.154 0.154
0.500 0.500 0.500
0.000 0.000 0.000
```

two.
LiCu6Pt | PBE | relaxed

Geometry as POSCAR:
```
LiCu6Pt
1.0
4.282 0.000 0.000
0.000 4.727 -2.193
0.000 -0.506 5.187
Cu Pt Li
6 1 1
direct
0.000 0.836 0.164
0.000 0.834 0.672
0.000 0.328 0.166
0.500 0.667 0.833
0.500 0.167 0.333
0.000 0.334 0.666
0.500 0.667 0.333
0.500 0.166 0.834
```

It is two that is the most stable of them.

one.
LiCuSnPt | PBE | relaxed

Geometry as POSCAR:
```
LiCuSnPt
1.0
4.073 0.000 0.000
0.000 4.073 0.000
-2.036 -2.037 3.735
Cu Sn Pt Li
1 1 1 1
direct
0.000 0.000 0.000
0.750 0.250 0.500
0.500 0.500 0.000
0.250 0.750 0.500
```

two.
LiCuSnPt | PBE | relaxed

Geometry as POSCAR:
```
LiCuSnPt
1.0
-1.122 -1.201 -4.142
0.523 -4.225 -1.314
-3.569 -2.579 -0.683
Cu Pt Sn Li
1 1 1 1
direct
0.000 0.000 0.000
0.750 0.750 0.750
0.500 0.500 0.500
0.250 0.250 0.250
```

It is two that is the most stable of them.

one.
LiZnCuPt | PBE | relaxed

Geometry as POSCAR:
```
LiZnCuPt
1.0
3.842 0.000 0.000
0.000 3.842 0.000
-1.921 -1.921 3.678
Li Pt Cu Zn
1 1 1 1
direct
0.500 0.500 0.000
0.000 0.000 0.000
0.250 0.750 0.500
0.750 0.250 0.500
```

two.
LiZnCuPt | PBE | relaxed

Geometry as POSCAR:
```
LiZnCuPt
1.0
-1.683 0.887 3.821
1.053 -2.361 3.397
2.448 1.661 3.077
Zn Pt Li Cu
1 1 1 1
direct
0.000 0.000 0.000
0.750 0.750 0.750
0.250 0.250 0.250
0.500 0.500 0.500
```

It is one that is the most stable of them.

one.
LiPuCu | PBE | relaxed

Geometry as POSCAR:
```
LiPuCu
1.0
2.448 0.362 0.000
0.029 2.475 0.000
-1.238 -1.418 7.253
Pu Li Cu
1 1 1
direct
0.672 0.672 0.344
0.982 0.982 0.965
0.346 0.346 0.691
```

two.
LiPuCu | PBE | relaxed

Geometry as POSCAR:
```
LiPuCu
1.0
2.468 0.000 0.000
0.000 2.468 0.000
-1.234 -1.234 7.307
Pu Cu Li
1 1 1
direct
0.673 0.673 0.346
0.346 0.346 0.692
0.981 0.981 0.962
```

It is one that is the most stable of them.

one.
RbLi2Cu | PBE | relaxed

Geometry as POSCAR:
```
RbLi2Cu
1.0
4.566 0.000 0.000
2.283 3.954 0.000
2.283 1.318 6.538
Cu Li Rb
1 2 1
direct
0.500 0.500 0.500
0.191 0.191 0.427
0.809 0.809 0.573
0.000 0.000 0.000
```

two.
RbLi2Cu | PBE | relaxed

Geometry as POSCAR:
```
RbLi2Cu
1.0
-3.317 0.786 4.630
-2.194 -5.272 -0.677
3.282 -5.380 6.835
Li Cu Rb
4 2 2
direct
0.375 0.125 0.250
0.375 0.625 0.750
0.375 0.625 0.250
0.875 0.625 0.750
0.500 0.500 0.000
0.250 0.750 0.500
0.000 0.000 0.000
0.750 0.250 0.500
```

It is one that is the most stable of them.

one.
RbLiCu3 | PBE | relaxed

Geometry as POSCAR:
```
RbLiCu3
1.0
-1.422 -4.452 1.084
2.562 -1.713 -3.676
3.799 -0.511 2.885
Cu Rb Li
3 1 1
direct
0.500 0.000 0.000
0.000 0.500 0.000
0.000 0.000 0.500
0.500 0.500 0.500
0.000 0.000 0.000
```

two.
RbLiCu3 | PBE | relaxed

Geometry as POSCAR:
```
RbLiCu3
1.0
-2.805 -0.798 -4.992
2.445 -5.211 -0.541
-4.425 -2.374 2.865
Rb Cu Li
1 3 1
direct
0.000 0.000 0.000
0.000 0.500 0.000
0.000 0.000 0.500
0.500 0.000 0.000
0.500 0.500 0.500
```

It is one that is the most stable of them.